1.
Mn2GaTcH (PBE, optimized geometry); crystal system = tetragonal; energy = -7.066 eV/atom; distance to the lowest polymorph of the same formula = 0 meV/atom
1.0
3.7364 0.0000 0.0000
0.0000 3.7364 0.0000
0.0000 0.0000 3.9704
Mn Ga Tc H
2 1 1 1
Cartesian
0.0000 1.8682 0.0000
1.8682 0.0000 0.0000
0.0000 0.0000 1.9852
1.8682 1.8682 1.9852
1.8682 1.8682 0.0000

2.
NaZr2Ni (PBE, optimized geometry); crystal system = cubic; energy = -5.683 eV/atom; distance to the lowest polymorph of the same formula = 0 meV/atom; energy relative to the elements = 0.37 eV/atom
1.0
0.0000 3.3644 3.3644
3.3644 0.0000 3.3644
3.3644 3.3644 0.0000
Na Zr Ni
1 2 1
Cartesian
0.0000 0.0000 0.0000
1.6822 1.6822 1.6822
5.0465 5.0465 5.0465
3.3644 3.3644 3.3644

3.
B2C3 (PBE, optimized geometry); crystal system = orthorhombic; energy = -7.798 eV/atom; distance to the lowest polymorph of the same formula = 171 meV/atom; energy relative to the elements = 0.41 eV/atom
1.0
-1.2582 6.4011 2.0183
1.2582 -6.4011 2.0183
1.2582 6.4011 -2.0183
B C
4 6
Cartesian
0.0000 1.2413 0.0000
1.2582 -2.5686 1.9700
1.2582 2.5686 1.9700
0.0000 11.5608 0.0000
1.2582 -1.2267 1.0539
1.2582 1.2267 1.0539
1.2582 0.0000 1.9993
1.2582 3.8867 1.0219
0.0000 0.0000 2.8702
0.0000 2.5144 3.0402